Record 1
The following is a PBE calculation of crystalline Be2SiNi at its relaxed geometry, from Alexandria via LeMat-Bulk.

extended XYZ file:
```
8
Lattice="3.985 -2.280 0.000 3.985 2.280 0.000 -1.295 0.000 4.500" Properties=species:S:1:pos:R:3 pbc="T T T"
Be 1.662 0.419 0.782
Be 1.014 -0.419 3.032
Be 5.662 0.419 1.468
Be 5.014 -0.419 3.718
Si 3.014 0.729 3.375
Si 3.662 -0.729 1.125
Ni 3.662 1.575 1.125
Ni 3.014 -1.575 3.375
```

Calculated values
ΔE_f (raw) (meV per atom): -179.3
Total moment (μB/f.u.): 0.00
Space-group type: C2/c (15)
Electronic total energy (eV per atom): -4.844
Theoretical density (g/cm3): 4.26

=====

Record 2
The following is a PBE calculation of crystalline TcBi2As at its relaxed geometry, from Alexandria via LeMat-Bulk.

extended XYZ file:
```
8
Lattice="-3.201 3.201 6.285 3.201 -3.201 6.285 3.201 3.201 -6.285" Properties=species:S:1:pos:R:3 pbc="T T T"
Tc 0.000 0.000 0.000
Tc 0.000 3.201 3.142
Bi 4.801 1.421 -1.571
Bi 1.421 1.600 1.571
Bi -1.600 1.780 4.714
Bi 1.780 1.600 7.856
As 3.201 0.000 3.142
As 0.000 0.000 6.285
```

Calculated values
Total moment (μB/f.u.): 0.00
Space-group type: I-42d (122)
Electronic total energy (eV per atom): -4.961
Energy of formation from the pure elements (eV/atom): 0.733
Theoretical density (g/cm3): 7.62

=====

Record 3
The following is a PBE calculation of crystalline LiPr2InSe5 at its relaxed geometry, from Alexandria via LeMat-Bulk.

extended XYZ file:
```
18
Lattice="2.079 -9.051 0.000 2.079 9.051 0.000 0.000 0.000 12.031" Properties=species:S:1:pos:R:3 pbc="T T T"
Li 2.079 5.005 6.015
Li 2.079 -5.005 0.000
Pr 2.079 6.798 9.462
Pr 2.079 6.796 1.962
Pr 2.079 -6.796 7.977
Pr 2.079 -6.798 3.446
In 2.079 1.528 11.499
In 2.079 -1.528 5.484
Se 2.079 8.395 6.776
Se 2.079 3.634 1.678
Se 2.079 3.590 9.856
Se 2.079 2.518 5.750
Se 2.079 0.142 9.207
Se 2.079 -0.142 3.191
Se 2.079 -2.518 11.766
Se 2.079 -3.590 3.840
Se 2.079 -3.634 7.693
Se 2.079 -8.395 0.761
```

Calculated values
ΔE_f (raw) (meV per atom): -1397.6
Total moment (μB/f.u.): 0.00
Space-group type: Cmc2_1 (36)
Electronic total energy (eV per atom): -4.913
Theoretical density (g/cm3): 5.86

=====

Record 4
The following is a PBE calculation of crystalline MgFe at its relaxed geometry, from Alexandria via LeMat-Bulk.

extended XYZ file:
```
4
Lattice="2.799 0.000 0.000 -1.400 2.424 0.000 0.000 0.000 9.087" Properties=species:S:1:pos:R:3 pbc="T T T"
Mg 0.000 0.000 0.000
Mg 0.000 0.000 4.543
Fe 0.000 1.616 2.272
Fe 1.400 0.808 6.815
```

Calculated values
Total moment (μB/f.u.): 2.48
Space-group type: P6_3/mmc (194)
Electronic total energy (eV per atom): -4.693
Energy of formation from the pure elements (eV/atom): 0.336
Theoretical density (g/cm3): 4.32